Entry from the Alexandria database: MgBeTc2Ge after structural relaxation (PBE).

a b c (Å): 4.6193 4.6193 4.5635
angles (deg): 90.00 90.00 90.00
Sites, in units of the cell vectors:
Mg1 0.0000 0.0000 0.0000
Be1 0.5000 0.5000 0.5000
Tc1 0.0000 0.5000 0.0000
Tc2 0.5000 0.0000 0.0000
Ge1 0.0000 0.0000 0.5000

Total magnetic moment ... 3.47 Bohr magnetons per cell
Formation energy from the elements ... 1.99 eV per atom
Symmetry ... P4/mmm, No. 123